YCo2OF | GGA+U | relaxed

Lattice parameters (Å, degrees): 5.713 4.161 5.713 90.00 90.00 90.00
Site moments in Bohr magnetons follow the coordinates.
Fractional coordinates of all 5 atoms:
F1 0.500 0.500 0.500  0.15
Co1 0.000 0.000 0.500  2.68
Co2 0.500 0.000 0.000  2.60
O1 0.000 0.500 0.000  0.05
Y1 0.000 0.000 0.000  -0.05

Properties
- Uncorrected energy: -22.289 eV for the cell shown
- V: 136 Å³/cell